*a*
Compound: NdSmGe2
Source: Alexandria
Functional: PBE
Structure: relaxed

Structure (extended XYZ):
```
4
Lattice="4.2981 0.0000 0.0000 2.1491 3.7223 0.0000 2.1491 1.2408 6.8798" Properties=species:S:1:pos:R:3 pbc="T T T"
Nd 4.2981 2.4815 3.4399
Ge 2.1491 1.2408 1.6899
Sm 0.0000 0.0000 0.0000
Ge 6.4472 3.7223 5.1899
```

Computed properties:
Spin magnetization in μB/atom: 0.000
Calculated volume in Å³ per cell: 110

=====

*b*
Compound: NdSmGe2
Source: Alexandria
Functional: PBE
Structure: relaxed

Structure (extended XYZ):
```
4
Lattice="4.1455 0.0000 0.0000 0.0000 4.8410 0.0000 0.0000 0.0000 4.8410" Properties=species:S:1:pos:R:3 pbc="T T T"
Nd 2.0728 2.4205 2.4205
Ge 0.0000 0.0000 2.4205
Ge 0.0000 2.4205 0.0000
Sm 2.0728 0.0000 0.0000
```

Computed properties:
Spin magnetization in μB/atom: 0.000
Calculated volume in Å³ per cell: 97

=====

*c*
Compound: NdSmGe2
Source: Alexandria
Functional: PBE
Structure: relaxed

Structure (extended XYZ):
```
4
Lattice="-3.0718 -2.4622 -2.0649 2.9079 -2.4816 -1.3669 0.9977 -1.8884 5.5510" Properties=species:S:1:pos:R:3 pbc="T T T"
Ge 0.5368 -1.0203 2.9944
Ge 1.8154 -3.2839 3.7949
Sm 0.5142 -3.1481 0.7800
Nd -1.2355 -3.6278 3.9581
```

Computed properties:
Spin magnetization in μB/atom: 0.000
Calculated volume in Å³ per cell: 100

=====

Most favorable structure: *c*. The second most favorable one is 199 meV per atom above it.